# 1
An optimized crystal structure of Al2TlHg. Source: the Alexandria database, functional GGA-PBE.

Computed properties:
Its crystal system is tetragonal. As for the space group: I-4m2 (119). For the formation energy from the elements, the calculation gives 0.2705 eV per atom. For the final energy, the calculation gives -9.07 eV per cell. The density of states at the Fermi level comes out at 1.69 states/eV/cell.

a b c (Å): 5.890 5.890 5.890
angles (deg): 138.00 138.00 60.90
Atoms (fractional coordinates):
Al (0.000, 0.000, 0.000)
Al (0.750, 0.250, 0.500)
Tl (0.500, 0.500, 0.000)
Hg (0.250, 0.750, 0.500)

# 2
An optimized crystal structure of CsPm2F7. Source: the Alexandria database, functional GGA-PBE.

Computed properties:
Its crystal system is orthorhombic. As for the space group: Cmmm (65). For the uncorrected formation energy, the calculation gives -3.870 eV/atom. For the final energy, the calculation gives -62.16 eV per cell. The density of states at the Fermi level comes out at 0.00 states/eV/cell.

a b c (Å): 7.009 7.009 4.569
angles (deg): 90.00 90.00 117.14
Atoms (fractional coordinates):
Cs (0.000, 0.000, 0.000)
Pm (0.308, 0.692, 0.500)
Pm (0.692, 0.308, 0.500)
F (0.040, 0.336, 0.500)
F (0.297, 0.703, 0.000)
F (0.336, 0.040, 0.500)
F (0.500, 0.500, 0.500)
F (0.664, 0.960, 0.500)
F (0.703, 0.297, 0.000)
F (0.960, 0.664, 0.500)

# 3
An optimized crystal structure of CaTh5Se6. Source: the Alexandria database, functional GGA-PBE.

Computed properties:
Its crystal system is monoclinic. As for the space group: C2/m (12). For the uncorrected formation energy, the calculation gives -1.591 eV/atom. For the final energy, the calculation gives -79.10 eV per cell. The density of states at the Fermi level comes out at 7.55 states/eV/cell.

a b c (Å): 7.272 7.272 7.263
angles (deg): 99.55 99.55 119.98
Atoms (fractional coordinates):
Ca (0.000, 0.000, 0.000)
Th (0.171, 0.829, 0.500)
Th (0.334, 0.666, 0.000)
Th (0.500, 0.500, 0.500)
Th (0.666, 0.334, 0.000)
Th (0.829, 0.171, 0.500)
Se (0.081, 0.405, 0.243)
Se (0.243, 0.243, 0.751)
Se (0.405, 0.081, 0.243)
Se (0.595, 0.919, 0.757)
Se (0.757, 0.757, 0.249)
Se (0.919, 0.595, 0.757)

# 4
An optimized crystal structure of Dy2HoScSb4. Source: the Alexandria database, functional GGA-PBE.

Computed properties:
Its crystal system is monoclinic. As for the space group: P2/m (10). For the uncorrected formation energy, the calculation gives -1.069 eV/atom. For the final energy, the calculation gives -45.15 eV per cell. The density of states at the Fermi level comes out at 1.21 states/eV/cell.

a b c (Å): 7.496 4.332 7.498
angles (deg): 90.00 109.48 90.00
Atoms (fractional coordinates):
Dy (0.000, 0.000, 0.000)
Dy (0.000, 0.500, 0.500)
Ho (0.500, 0.000, 0.500)
Sc (0.500, 0.500, 0.000)
Sb (0.256, 0.500, 0.246)
Sb (0.260, 0.000, 0.759)
Sb (0.740, 0.000, 0.241)
Sb (0.744, 0.500, 0.754)

# 5
An optimized crystal structure of MoRu. Source: the Alexandria database, functional GGA-PBE.

Computed properties:
Its crystal system is tetragonal. As for the space group: P4/nmm (129). For the formation energy from the elements, the calculation gives 0.1457 eV per atom. For the final energy, the calculation gives -39.63 eV per cell. The density of states at the Fermi level comes out at 5.16 states/eV/cell.

a b c (Å): 2.743 2.743 7.965
angles (deg): 90.00 90.00 90.00
Atoms (fractional coordinates):
Mo (0.250, 0.250, 0.136)
Mo (0.750, 0.750, 0.864)
Ru (0.250, 0.250, 0.618)
Ru (0.750, 0.750, 0.382)

# 6
An optimized crystal structure of Th6SnSb2As3. Source: the Alexandria database, functional GGA-PBE.

Computed properties:
Its crystal system is monoclinic. As for the space group: C2/m (12). For the uncorrected formation energy, the calculation gives -1.078 eV/atom. For the final energy, the calculation gives -83.65 eV per cell. The density of states at the Fermi level comes out at 5.97 states/eV/cell.

a b c (Å): 9.831 9.831 8.811
angles (deg): 103.61 103.61 25.66
Atoms (fractional coordinates):
Th (0.005, 0.005, 0.239)
Th (0.329, 0.329, 0.432)
Th (0.339, 0.339, 0.904)
Th (0.661, 0.661, 0.096)
Th (0.671, 0.671, 0.568)
Th (0.995, 0.995, 0.761)
Sn (0.500, 0.500, 0.500)
Sb (0.167, 0.167, 0.833)
Sb (0.833, 0.833, 0.167)
As (0.167, 0.167, 0.332)
As (0.500, 0.500, 0.000)
As (0.833, 0.833, 0.668)

# 7
An optimized crystal structure of NbAgSeCl2. Source: the Alexandria database, functional GGA-PBE.

Computed properties:
Its crystal system is tetragonal. As for the space group: P4/mmm (123). For the uncorrected formation energy, the calculation gives 0.900 eV/atom. For the final energy, the calculation gives -15.60 eV per cell. The density of states at the Fermi level comes out at 6.97 states/eV/cell.

a b c (Å): 5.365 5.365 4.849
angles (deg): 90.00 90.00 90.00
Atoms (fractional coordinates):
Nb (0.000, 0.000, 0.000)
Ag (0.500, 0.500, 0.000)
Se (0.500, 0.500, 0.500)
Cl (0.000, 0.500, 0.500)
Cl (0.500, 0.000, 0.500)

# 8
An optimized crystal structure of NbCrSiOs2. Source: the Alexandria database, functional GGA-PBE.

Computed properties:
Its crystal system is tetragonal. As for the space group: P4/mmm (123). For the uncorrected formation energy, the calculation gives 1.153 eV/atom. For the final energy, the calculation gives -41.81 eV per cell. The density of states at the Fermi level comes out at 4.44 states/eV/cell.

a b c (Å): 4.327 4.327 4.557
angles (deg): 90.00 90.00 90.00
Atoms (fractional coordinates):
Nb (0.000, 0.000, 0.000)
Cr (0.500, 0.500, 0.000)
Si (0.000, 0.000, 0.500)
Os (0.000, 0.500, 0.500)
Os (0.500, 0.000, 0.500)